The following is a DFT calculation (GGA+U) of a relaxed MnBeAs2O6 crystal.

CIF file:
```
data_MnBeAs2O6
_space_group_name_H-M_alt 'C 1 2/c 1'
_space_group_IT_number 15
_cell_length_a 13.8407
_cell_length_b 8.2717
_cell_length_c 4.8965
_cell_angle_alpha 90.00
_cell_angle_beta 103.37
_cell_angle_gamma 90.00
loop_
_space_group_symop_operation_xyz
'x,y,z'
'-x,-y,-z'
'-x,y,-z+1/2'
'x,-y,z+1/2'
'x+1/2,y+1/2,z'
'-x+1/2,-y+1/2,-z'
'-x+1/2,y+1/2,-z+1/2'
'x+1/2,-y+1/2,z+1/2'
loop_
_atom_site_label
_atom_site_fract_x
_atom_site_fract_y
_atom_site_fract_z
Mn1 0.0000 0.0970 0.2500
Be1 0.0000 0.2086 0.7500
As1 0.1800 0.3687 0.1790
O1 0.0580 0.2775 0.0552
O2 0.0734 0.0781 0.6331
O3 0.1582 0.4315 0.5180
```

Calculated values
Total DFT energy (no corrections) ... -6.49 eV/atom